Entry from the Alexandria database: a geometry-optimized TaSnO3 structure (PBE).

```
data_TaSnO3
_space_group_name_H-M_alt 'P 1'
_space_group_IT_number 1
_space_group_name_Hall 'P 1'
_cell_length_a 4.027
_cell_length_b 4.027
_cell_length_c 4.027
_cell_angle_alpha 90.00
_cell_angle_beta 90.00
_cell_angle_gamma 90.00
loop_
_atom_site_label
_atom_site_type_symbol
_atom_site_fract_x
_atom_site_fract_y
_atom_site_fract_z
O1 O 0.000 0.000 0.500
O2 O 0.000 0.500 0.000
O3 O 0.500 0.000 0.000
Sn1 Sn 0.000 0.000 0.000
Ta1 Ta 0.500 0.500 0.500
```

Summary:
Crystal system: cubic
Symmetry: Pm-3m (221)
Formation energy from raw total energies (eV/atom): -0.3473
DOS(E_F) (states/eV/cell): 2.72
E (eV for the cell shown): -32.5

***

Entry from the Alexandria database: a geometry-optimized Ta4SnO12 structure (PBE).

```
data_Ta4SnO12
_space_group_name_H-M_alt 'P 1'
_space_group_IT_number 1
_space_group_name_Hall 'P 1'
_cell_length_a 5.030
_cell_length_b 5.562
_cell_length_c 9.360
_cell_angle_alpha 98.53
_cell_angle_beta 105.53
_cell_angle_gamma 90.00
loop_
_atom_site_label
_atom_site_type_symbol
_atom_site_fract_x
_atom_site_fract_y
_atom_site_fract_z
O1 O 0.136 0.331 0.433
O2 O 0.773 0.980 0.853
O3 O 0.275 0.096 0.688
O4 O 0.702 0.169 0.567
O5 O 0.921 0.520 0.147
O6 O 0.390 0.599 0.696
O7 O 0.275 0.831 0.432
O8 O 0.843 0.670 0.568
O9 O 0.588 0.404 0.312
O10 O 0.194 0.054 0.145
O11 O 0.694 0.901 0.303
O12 O 0.046 0.446 0.854
Ta1 Ta 0.562 0.866 0.654
Ta2 Ta 0.415 0.132 0.349
Ta3 Ta 0.065 0.368 0.651
Ta4 Ta 0.910 0.634 0.347
Sn1 Sn 0.981 0.250 0.000
```

Summary:
Crystal system: triclinic
Symmetry: P1 (1)
Formation energy from raw total energies (eV/atom): -2.5277
DOS(E_F) (states/eV/cell): 0.00
E (eV for the cell shown): -153.9

***

Entry from the Alexandria database: a geometry-optimized TaSnO4 structure (PBE).

```
data_TaSnO4
_space_group_name_H-M_alt 'P 1'
_space_group_IT_number 1
_space_group_name_Hall 'P 1'
_cell_length_a 5.158
_cell_length_b 5.158
_cell_length_c 9.365
_cell_angle_alpha 90.00
_cell_angle_beta 90.00
_cell_angle_gamma 90.00
loop_
_atom_site_label
_atom_site_type_symbol
_atom_site_fract_x
_atom_site_fract_y
_atom_site_fract_z
Sn1 Sn 0.000 0.000 0.000
Sn2 Sn 0.000 0.000 0.500
O1 O 0.189 0.722 0.130
O2 O 0.811 0.722 0.370
O3 O 0.722 0.811 0.870
O4 O 0.722 0.189 0.630
O5 O 0.189 0.278 0.370
O6 O 0.278 0.189 0.870
O7 O 0.278 0.811 0.630
O8 O 0.811 0.278 0.130
Ta1 Ta 0.500 0.000 0.750
Ta2 Ta 0.000 0.500 0.250
```

Summary:
Crystal system: tetragonal
Symmetry: P-42c (112)
Formation energy from raw total energies (eV/atom): -1.9112
DOS(E_F) (states/eV/cell): 2.25
E (eV for the cell shown): -94.3

***

Entry from the Alexandria database: a geometry-optimized Ta2SnO6 structure (PBE).

```
data_Ta2SnO6
_space_group_name_H-M_alt 'P 1'
_space_group_IT_number 1
_space_group_name_Hall 'P 1'
_cell_length_a 9.076
_cell_length_b 9.076
_cell_length_c 5.635
_cell_angle_alpha 88.16
_cell_angle_beta 88.16
_cell_angle_gamma 31.42
loop_
_atom_site_label
_atom_site_type_symbol
_atom_site_fract_x
_atom_site_fract_y
_atom_site_fract_z
Ta1 Ta 0.926 0.414 0.841
Ta2 Ta 0.414 0.926 0.341
Ta3 Ta 0.073 0.585 0.163
Ta4 Ta 0.585 0.073 0.663
O1 O 0.838 0.723 0.855
O2 O 0.321 0.390 0.421
O3 O 0.154 0.992 0.407
O4 O 0.723 0.838 0.355
O5 O 0.161 0.277 0.149
O6 O 0.390 0.321 0.921
O7 O 0.992 0.154 0.907
O8 O 0.007 0.845 0.097
O9 O 0.609 0.678 0.083
O10 O 0.678 0.609 0.583
O11 O 0.277 0.161 0.649
O12 O 0.845 0.007 0.597
Sn1 Sn 0.229 0.770 0.752
Sn2 Sn 0.770 0.229 0.252
```

Summary:
Crystal system: monoclinic
Symmetry: C2/c (15)
Formation energy from raw total energies (eV/atom): -2.5224
DOS(E_F) (states/eV/cell): 0.00
E (eV for the cell shown): -160.3

***

Entry from the Alexandria database: a geometry-optimized Ta2Sn2O7 structure (PBE).

```
data_Ta2Sn2O7
_space_group_name_H-M_alt 'P 1'
_space_group_IT_number 1
_space_group_name_Hall 'P 1'
_cell_length_a 7.586
_cell_length_b 7.586
_cell_length_c 7.586
_cell_angle_alpha 60.00
_cell_angle_beta 60.00
_cell_angle_gamma 60.00
loop_
_atom_site_label
_atom_site_type_symbol
_atom_site_fract_x
_atom_site_fract_y
_atom_site_fract_z
O1 O 0.687 0.313 0.687
O2 O 0.313 0.687 0.313
O3 O 0.687 0.313 0.313
O4 O 0.313 0.687 0.687
O5 O 0.000 0.000 0.000
O6 O 0.250 0.250 0.250
O7 O 0.687 0.687 0.313
O8 O 0.313 0.313 0.687
O9 O 0.937 0.563 0.563
O10 O 0.563 0.563 0.937
O11 O 0.563 0.937 0.937
O12 O 0.937 0.937 0.563
O13 O 0.937 0.563 0.937
O14 O 0.563 0.937 0.563
Ta1 Ta 0.625 0.625 0.125
Ta2 Ta 0.625 0.625 0.625
Ta3 Ta 0.125 0.625 0.625
Ta4 Ta 0.625 0.125 0.625
Sn1 Sn 0.125 0.625 0.125
Sn2 Sn 0.125 0.125 0.125
Sn3 Sn 0.125 0.125 0.625
Sn4 Sn 0.625 0.125 0.125
```

Summary:
Crystal system: cubic
Symmetry: Fd-3m (227)
Formation energy from raw total energies (eV/atom): -2.2181
E (eV for the cell shown): -181.6

***

Entry from the Alexandria database: a geometry-optimized TaSnO2 structure (PBE).

```
data_TaSnO2
_space_group_name_H-M_alt 'P 1'
_space_group_IT_number 1
_space_group_name_Hall 'P 1'
_cell_length_a 7.706
_cell_length_b 7.706
_cell_length_c 7.706
_cell_angle_alpha 22.62
_cell_angle_beta 22.62
_cell_angle_gamma 22.62
loop_
_atom_site_label
_atom_site_type_symbol
_atom_site_fract_x
_atom_site_fract_y
_atom_site_fract_z
Ta1 Ta 0.500 0.500 0.500
Sn1 Sn 0.000 0.000 0.000
O1 O 0.888 0.888 0.888
O2 O 0.112 0.112 0.112
```

Summary:
Crystal system: trigonal
Symmetry: R-3m (166)
Formation energy from raw total energies (eV/atom): -1.5770
DOS(E_F) (states/eV/cell): 1.20
E (eV for the cell shown): -32.1

***

Entry from the Alexandria database: a geometry-optimized Ta3SnO structure (PBE).

```
data_Ta3SnO
_space_group_name_H-M_alt 'P 1'
_space_group_IT_number 1
_space_group_name_Hall 'P 1'
_cell_length_a 4.310
_cell_length_b 4.310
_cell_length_c 4.310
_cell_angle_alpha 90.00
_cell_angle_beta 90.00
_cell_angle_gamma 90.00
loop_
_atom_site_label
_atom_site_type_symbol
_atom_site_fract_x
_atom_site_fract_y
_atom_site_fract_z
Sn1 Sn 0.500 0.500 0.500
Ta1 Ta 0.000 0.000 0.500
Ta2 Ta 0.000 0.500 0.000
Ta3 Ta 0.500 0.000 0.000
O1 O 0.000 0.000 0.000
```

Summary:
Crystal system: cubic
Symmetry: Pm-3m (221)
Formation energy from raw total energies (eV/atom): -0.4901
DOS(E_F) (states/eV/cell): 3.31
E (eV for the cell shown): -47.0

***

Entry from the Alexandria database: a geometry-optimized Ta2TcSnO structure (PBE).

```
data_Ta2TcSnO
_space_group_name_H-M_alt 'P 1'
_space_group_IT_number 1
_space_group_name_Hall 'P 1'
_cell_length_a 5.082
_cell_length_b 4.783
_cell_length_c 5.082
_cell_angle_alpha 90.00
_cell_angle_beta 90.00
_cell_angle_gamma 90.00
loop_
_atom_site_label
_atom_site_type_symbol
_atom_site_fract_x
_atom_site_fract_y
_atom_site_fract_z
O1 O 0.500 0.500 0.500
Ta1 Ta 0.500 0.000 0.000
Ta2 Ta 0.000 0.000 0.500
Tc1 Tc 0.000 0.500 0.000
Sn1 Sn 0.000 0.000 0.000
```

Summary:
Crystal system: tetragonal
Symmetry: P4/mmm (123)
Formation energy from raw total energies (eV/atom): 2.6557
DOS(E_F) (states/eV/cell): 9.93
E (eV for the cell shown): -29.8

***

Entry from the Alexandria database: a geometry-optimized TaTiSnO2 structure (PBE).

```
data_TaTiSnO2
_space_group_name_H-M_alt 'P 1'
_space_group_IT_number 1
_space_group_name_Hall 'P 1'
_cell_length_a 3.962
_cell_length_b 5.942
_cell_length_c 3.962
_cell_angle_alpha 90.00
_cell_angle_beta 90.00
_cell_angle_gamma 90.00
loop_
_atom_site_label
_atom_site_type_symbol
_atom_site_fract_x
_atom_site_fract_y
_atom_site_fract_z
Ta1 Ta 0.500 0.500 0.500
O1 O 0.500 0.000 0.000
O2 O 0.000 0.000 0.500
Sn1 Sn 0.000 0.000 0.000
Ti1 Ti 0.000 0.500 0.000
```

Summary:
Crystal system: tetragonal
Symmetry: P4/mmm (123)
Formation energy from raw total energies (eV/atom): 0.5335
DOS(E_F) (states/eV/cell): 4.67
E (eV for the cell shown): -31.0

***

Entry from the Alexandria database: a geometry-optimized TaTi2SnO8 structure (PBE).

```
data_TaTi2SnO8
_space_group_name_H-M_alt 'P 1'
_space_group_IT_number 1
_space_group_name_Hall 'P 1'
_cell_length_a 4.742
_cell_length_b 4.739
_cell_length_c 6.219
_cell_angle_alpha 90.00
_cell_angle_beta 90.00
_cell_angle_gamma 90.23
loop_
_atom_site_label
_atom_site_type_symbol
_atom_site_fract_x
_atom_site_fract_y
_atom_site_fract_z
O1 O 0.201 0.798 0.763
O2 O 0.697 0.698 0.000
O3 O 0.313 0.312 0.500
O4 O 0.799 0.202 0.763
O5 O 0.201 0.798 0.237
O6 O 0.799 0.202 0.237
O7 O 0.303 0.302 0.000
O8 O 0.687 0.688 0.500
Ti1 Ti 0.500 0.500 0.251
Ti2 Ti 0.500 0.500 0.749
Ta1 Ta 0.000 0.000 0.000
Sn1 Sn 0.000 0.000 0.500
```

Summary:
Crystal system: orthorhombic
Symmetry: Cmmm (65)
Formation energy from raw total energies (eV/atom): -2.5751
DOS(E_F) (states/eV/cell): 3.63
E (eV for the cell shown): -102.2

***

Entry from the Alexandria database: a geometry-optimized TaTiSnO6 structure (PBE).

```
data_TaTiSnO6
_space_group_name_H-M_alt 'P 1'
_space_group_IT_number 1
_space_group_name_Hall 'P 1'
_cell_length_a 5.187
_cell_length_b 5.187
_cell_length_c 9.419
_cell_angle_alpha 90.00
_cell_angle_beta 90.00
_cell_angle_gamma 120.00
loop_
_atom_site_label
_atom_site_type_symbol
_atom_site_fract_x
_atom_site_fract_y
_atom_site_fract_z
O1 O 0.644 0.646 0.135
O2 O 0.356 0.002 0.635
O3 O 0.646 0.644 0.635
O4 O 0.998 0.354 0.635
O5 O 0.356 0.354 0.865
O6 O 0.998 0.644 0.865
O7 O 0.354 0.998 0.135
O8 O 0.002 0.646 0.365
O9 O 0.646 0.002 0.865
O10 O 0.644 0.998 0.365
O11 O 0.002 0.356 0.135
O12 O 0.354 0.356 0.365
Ti1 Ti 0.667 0.333 0.750
Ti2 Ti 0.333 0.667 0.250
Ta1 Ta 0.667 0.333 0.250
Ta2 Ta 0.333 0.667 0.750
Sn1 Sn 0.000 0.000 0.000
Sn2 Sn 0.000 0.000 0.500
```

Summary:
Crystal system: trigonal
Symmetry: P-31c (163)
Formation energy from raw total energies (eV/atom): -2.4473
DOS(E_F) (states/eV/cell): 4.74
E (eV for the cell shown): -151.1

***

Entry from the Alexandria database: a geometry-optimized TaTlSn2O8 structure (PBE).

```
data_TaTlSn2O8
_space_group_name_H-M_alt 'P 1'
_space_group_IT_number 1
_space_group_name_Hall 'P 1'
_cell_length_a 4.867
_cell_length_b 4.866
_cell_length_c 6.600
_cell_angle_alpha 90.00
_cell_angle_beta 90.00
_cell_angle_gamma 90.07
loop_
_atom_site_label
_atom_site_type_symbol
_atom_site_fract_x
_atom_site_fract_y
_atom_site_fract_z
O1 O 0.801 0.199 0.782
O2 O 0.316 0.316 0.500
O3 O 0.684 0.684 0.500
O4 O 0.701 0.701 0.000
O5 O 0.199 0.801 0.218
O6 O 0.801 0.199 0.218
O7 O 0.199 0.801 0.782
O8 O 0.299 0.299 0.000
Ta1 Ta 0.000 0.000 0.000
Sn1 Sn 0.500 0.500 0.246
Sn2 Sn 0.500 0.500 0.754
Tl1 Tl 0.000 0.000 0.500
```

Summary:
Crystal system: orthorhombic
Symmetry: Cmmm (65)
Formation energy from raw total energies (eV/atom): -1.7559
E (eV for the cell shown): -83.0

***

Entry from the Alexandria database: a geometry-optimized TaTl2SnO6 structure (PBE).

```
data_TaTl2SnO6
_space_group_name_H-M_alt 'P 1'
_space_group_IT_number 1
_space_group_name_Hall 'P 1'
_cell_length_a 5.797
_cell_length_b 5.797
_cell_length_c 8.211
_cell_angle_alpha 90.00
_cell_angle_beta 90.00
_cell_angle_gamma 90.00
loop_
_atom_site_label
_atom_site_type_symbol
_atom_site_fract_x
_atom_site_fract_y
_atom_site_fract_z
Tl1 Tl 0.000 0.250 0.250
Tl2 Tl 0.500 0.750 0.750
Tl3 Tl 0.500 0.750 0.250
Tl4 Tl 0.000 0.250 0.750
O1 O 0.255 0.495 0.000
O2 O 0.245 0.505 0.500
O3 O 0.745 0.495 0.000
O4 O 0.000 0.750 0.745
O5 O 0.255 0.005 0.000
O6 O 0.000 0.750 0.255
O7 O 0.500 0.250 0.755
O8 O 0.745 0.005 0.000
O9 O 0.500 0.250 0.245
O10 O 0.755 0.995 0.500
O11 O 0.245 0.995 0.500
O12 O 0.755 0.505 0.500
Ta1 Ta 0.000 0.750 0.500
Ta2 Ta 0.500 0.250 0.000
Sn1 Sn 0.500 0.250 0.500
Sn2 Sn 0.000 0.750 0.000
```

Summary:
Crystal system: cubic
Symmetry: Fm-3m (225)
Formation energy from raw total energies (eV/atom): -1.6247
DOS(E_F) (states/eV/cell): 7.94
E (eV for the cell shown): -133.2

***

Entry from the Alexandria database: a geometry-optimized TaTlSn2O structure (PBE).

```
data_TaTlSn2O
_space_group_name_H-M_alt 'P 1'
_space_group_IT_number 1
_space_group_name_Hall 'P 1'
_cell_length_a 5.343
_cell_length_b 3.978
_cell_length_c 5.343
_cell_angle_alpha 90.00
_cell_angle_beta 90.00
_cell_angle_gamma 90.00
loop_
_atom_site_label
_atom_site_type_symbol
_atom_site_fract_x
_atom_site_fract_y
_atom_site_fract_z
Ta1 Ta 0.000 0.500 0.000
Sn1 Sn 0.500 0.000 0.000
Sn2 Sn 0.000 0.000 0.500
Tl1 Tl 0.500 0.500 0.500
O1 O 0.000 0.000 0.000
```

Summary:
Crystal system: tetragonal
Symmetry: P4/mmm (123)
Formation energy from raw total energies (eV/atom): -0.1211
DOS(E_F) (states/eV/cell): 3.02
E (eV for the cell shown): -27.8